(1)
A relaxed CaLaNdHo crystal, computed with PBE-GGA.

Cell and atoms, written as CIF:
```
data_CaLaNdHo
_cell_length_a 3.681
_cell_length_b 3.681
_cell_length_c 10.633
_cell_angle_alpha 90.00
_cell_angle_beta 90.00
_cell_angle_gamma 90.00
_symmetry_space_group_name_H-M 'P 4 m m'
_symmetry_Int_Tables_number 99
loop_
_symmetry_equiv_pos_as_xyz
'x,y,z'
'-y,x,z'
'-x,-y,z'
'y,-x,z'
'-x,y,z'
'y,x,z'
'x,-y,z'
'-y,-x,z'
loop_
_atom_site_label
_atom_site_type_symbol
_atom_site_fract_x
_atom_site_fract_y
_atom_site_fract_z
Ca1 Ca 0.000 0.000 0.000
La1 La 0.500 0.500 0.729
Nd1 Nd 0.500 0.500 0.262
Ho1 Ho 0.000 0.000 0.492
```

Results
As for the excess energy over the best structure of this formula in the dataset: 0.0000 eV/atom. The value obtained for the total energy is -16.08 eV for the cell shown. Its total magnetization is 0.0 μB/f.u. The formation energy comes out at 0.048 eV/atom.

(2)
A relaxed Zr3TaRe crystal, computed with PBE-GGA.

Cell and atoms, written as CIF:
```
data_Zr3TaRe
_cell_length_a 4.982
_cell_length_b 4.982
_cell_length_c 4.982
_cell_angle_alpha 90.00
_cell_angle_beta 90.00
_cell_angle_gamma 90.00
_symmetry_space_group_name_H-M 'P m -3 m'
_symmetry_Int_Tables_number 221
_symmetry_space_group_name_Hall '-P 4 2 3'
loop_
_atom_site_label
_atom_site_type_symbol
_atom_site_fract_x
_atom_site_fract_y
_atom_site_fract_z
Zr1 Zr 0.000 0.000 0.500
Ta1 Ta 0.000 0.000 0.000
Re1 Re 0.500 0.500 0.500
```

Results
As for the excess energy over the best structure of this formula in the dataset: 0.6320 eV/atom. The value obtained for the total energy is -41.94 eV for the cell shown. Its total magnetization is 0.0 μB/f.u. The formation energy comes out at 1.601 eV/atom.

(3)
A relaxed MgTl2Br3F crystal, computed with PBE-GGA.

Cell and atoms, written as CIF:
```
data_MgTl2Br3F
_cell_length_a 3.972
_cell_length_b 5.546
_cell_length_c 17.849
_cell_angle_alpha 90.00
_cell_angle_beta 90.00
_cell_angle_gamma 90.00
_symmetry_space_group_name_H-M 'I m m m'
_symmetry_Int_Tables_number 71
_symmetry_space_group_name_Hall '-I 2 2'
loop_
_atom_site_label
_atom_site_type_symbol
_atom_site_fract_x
_atom_site_fract_y
_atom_site_fract_z
Mg1 Mg 0.000 0.000 0.000
Tl1 Tl 0.000 0.000 0.348
Br1 Br 0.000 0.000 0.155
Br2 Br 0.000 0.500 0.000
F1 F 0.000 0.500 0.500
```

Results
The value obtained for the total energy is -47.46 eV for the cell shown. Its total magnetization is 0.0 μB/f.u. Its formation energy without anion corrections is -1502.1 meV/atom.